First-principles (PBE+U) data for crystalline CuWF2 at its relaxed geometry, as listed in the Alexandria database.

abc: 6.0119 6.0119 6.0119
angles: 90.00 90.00 90.00
Last column: nearest neighbours and their distance in Å.
Fractional positions:
Cu  0.0000  0.0000  0.0000  8 F 2.60
Cu  0.0000  0.5000  0.5000  8 F 2.60
Cu  0.5000  0.0000  0.5000  8 F 2.60
Cu  0.5000  0.5000  0.0000  8 F 2.60
W  0.0000  0.0000  0.5000  8 F 2.60
W  0.0000  0.5000  0.0000  8 F 2.60
W  0.5000  0.0000  0.0000  8 F 2.60
W  0.5000  0.5000  0.5000  8 F 2.60
F  0.2500  0.2500  0.2500  4 W 2.60, 4 Cu 2.60
F  0.2500  0.2500  0.7500  4 W 2.60, 4 Cu 2.60
F  0.2500  0.7500  0.2500  4 W 2.60, 4 Cu 2.60
F  0.2500  0.7500  0.7500  4 W 2.60, 4 Cu 2.60
F  0.7500  0.2500  0.2500  4 W 2.60, 4 Cu 2.60
F  0.7500  0.2500  0.7500  4 W 2.60, 4 Cu 2.60
F  0.7500  0.7500  0.2500  4 W 2.60, 4 Cu 2.60
F  0.7500  0.7500  0.7500  4 Cu 2.60, 4 W 2.60

Summary:
offset from the most stable computed form: 613.2 meV per atom
space group: Fm-3m (225)
crystal system: cubic
volume: 13.58 A^3/atom